A relaxed LiSnH2 crystal, computed with PBE.

## Properties
space-group type = R-3m
V = 12.56 Å³/atom
raw total energy = -2.98 eV per atom
magnetic moment = 0.000 μB per atom

Cell: 6.284 6.284 6.284 Å, 28.60 28.60 28.60°
Atoms (fractional coordinates):
Li 0.000 0.000 0.000
Sn 0.500 0.500 0.500
H 0.276 0.276 0.276
H 0.724 0.724 0.724

A relaxed BiSe2BrCl crystal, computed with PBE.

## Properties
space-group type = P4/mmm
V = 27.15 Å³/atom
uncorrected formation energy = 0.559 eV/atom
magnetic moment = 0.029 μB per atom

Cell: 5.218 5.218 4.985 Å, 90.00 90.00 90.00°
Atoms (fractional coordinates):
Bi 0.000 0.000 0.000
Se 0.000 0.500 0.500
Se 0.500 0.000 0.500
Br 0.500 0.500 0.000
Cl 0.500 0.500 0.500

A relaxed CaPO crystal, computed with PBE.

## Properties
space-group type = C2/m
V = 21.00 Å³/atom
uncorrected formation energy = -1.515 eV/atom
magnetic moment = 0.000 μB per atom

Cell: 3.731 3.731 10.634 Å, 94.79 94.79 58.80°
Atoms (fractional coordinates):
Ca 0.128 0.128 0.191
Ca 0.872 0.872 0.809
P 0.175 0.175 0.553
P 0.825 0.825 0.447
O 0.456 0.456 0.179
O 0.544 0.544 0.821

A relaxed NiSbSe4 crystal, computed with PBE.

## Properties
space-group type = P2/m
V = 24.38 Å³/atom
uncorrected formation energy = -0.159 eV/atom
magnetic moment = 0.000 μB per atom

Cell: 6.364 3.729 6.419 Å, 90.00 106.17 90.00°
Atoms (fractional coordinates):
Ni 0.000 0.000 0.000
Sb 0.500 0.500 0.000
Se 0.195 0.500 0.224
Se 0.228 0.000 0.750
Se 0.772 0.000 0.250
Se 0.805 0.500 0.776

A relaxed Al8Zn2Ag3 crystal, computed with PBE.

## Properties
space-group type = C2/m
V = 19.24 Å³/atom
raw total energy = -3.02 eV per atom
magnetic moment = 0.000 μB per atom

Cell: 7.876 7.876 5.190 Å, 104.35 104.35 53.97°
Atoms (fractional coordinates):
Al 0.039 0.656 0.055
Al 0.133 0.133 0.453
Al 0.330 0.330 0.350
Al 0.344 0.961 0.945
Al 0.656 0.039 0.055
Al 0.670 0.670 0.650
Al 0.867 0.867 0.547
Al 0.961 0.344 0.945
Zn 0.300 0.300 0.807
Zn 0.700 0.700 0.193
Ag 0.000 0.000 0.000
Ag 0.288 0.712 0.500
Ag 0.712 0.288 0.500

A relaxed CrB2H crystal, computed with PBE.

## Properties
space-group type = Fm-3m
V = 7.17 Å³/atom
raw total energy = -5.45 eV per atom
magnetic moment = 0.000 μB per atom

Cell: 3.435 3.435 3.435 Å, 60.00 60.00 60.00°
Atoms (fractional coordinates):
Cr 0.000 0.000 0.000
B 0.250 0.250 0.250
B 0.750 0.750 0.750
H 0.500 0.500 0.500

A relaxed Cs2PuCu2Cl6 crystal, computed with PBE.

## Properties
space-group type = C2/m
V = 31.64 Å³/atom
uncorrected formation energy = -1.364 eV/atom
magnetic moment = 0.545 μB per atom

Cell: 7.623 7.623 8.193 Å, 117.56 117.56 59.85°
Atoms (fractional coordinates):
Cs 0.226 0.226 0.211
Cs 0.774 0.774 0.789
Pu 0.000 0.000 0.500
Cu 0.453 0.453 0.818
Cu 0.547 0.547 0.182
Cl 0.213 0.719 0.221
Cl 0.248 0.248 0.668
Cl 0.281 0.787 0.779
Cl 0.719 0.213 0.221
Cl 0.752 0.752 0.332
Cl 0.787 0.281 0.779

A relaxed Na2BeTl crystal, computed with PBE.

## Properties
space-group type = Fm-3m
V = 23.85 Å³/atom
raw total energy = -1.73 eV per atom
magnetic moment = 0.000 μB per atom

Cell: 5.129 5.129 5.129 Å, 60.00 60.00 60.00°
Atoms (fractional coordinates):
Na 0.250 0.250 0.250
Na 0.750 0.750 0.750
Be 0.000 0.000 0.000
Tl 0.500 0.500 0.500

A relaxed MnRh2W crystal, computed with PBE.

## Properties
space-group type = Fm-3m
V = 14.77 Å³/atom
raw total energy = -9.18 eV per atom
magnetic moment = 0.954 μB per atom

Cell: 4.372 4.372 4.372 Å, 60.00 60.00 60.00°
Atoms (fractional coordinates):
Mn 0.000 0.000 0.000
Rh 0.250 0.250 0.250
Rh 0.750 0.750 0.750
W 0.500 0.500 0.500

A relaxed TiCoNi2 crystal, computed with PBE.

## Properties
space-group type = Amm2
V = 11.72 Å³/atom
raw total energy = -7.03 eV per atom
magnetic moment = 0.218 μB per atom

Cell: 8.316 5.113 5.113 Å, 59.61 90.00 90.00°
Atoms (fractional coordinates):
Ti 0.000 0.000 0.000
Ti 0.246 0.666 0.666
Ti 0.500 0.330 0.330
Ti 0.754 0.666 0.666
Co 0.000 0.014 0.493
Co 0.000 0.493 0.014
Co 0.000 0.495 0.495
Co 0.500 0.836 0.836
Ni 0.250 0.165 0.165
Ni 0.250 0.165 0.666
Ni 0.250 0.666 0.165
Ni 0.500 0.321 0.836
Ni 0.500 0.836 0.321
Ni 0.750 0.165 0.165
Ni 0.750 0.165 0.666
Ni 0.750 0.666 0.165

A relaxed ThPa2Sn crystal, computed with PBE.

## Properties
space-group type = Fm-3m
V = 26.82 Å³/atom
raw total energy = -7.50 eV per atom
magnetic moment = 0.000 μB per atom

Cell: 5.333 5.333 5.333 Å, 60.00 60.00 60.00°
Atoms (fractional coordinates):
Th 0.000 0.000 0.000
Pa 0.250 0.250 0.250
Pa 0.750 0.750 0.750
Sn 0.500 0.500 0.500

A relaxed TcB2SbW crystal, computed with PBE.

## Properties
space-group type = P4/mmm
V = 17.52 Å³/atom
uncorrected formation energy = 1.594 eV/atom
magnetic moment = 0.550 μB per atom

Cell: 4.031 4.031 5.389 Å, 90.00 90.00 90.00°
Atoms (fractional coordinates):
Tc 0.000 0.000 0.000
B 0.000 0.500 0.000
B 0.500 0.000 0.000
Sb 0.000 0.000 0.500
W 0.500 0.500 0.500